Entry 1:
## LuMgSc (PBE-GGA)

Data for an optimized crystal structure of LuMgSc.

Computed properties:
**E above lowest polymorph**: 0.25 eV per formula unit
**Energy relative to the elements**: 67 meV per atom
**D(E_F)**: 3.95 states/eV/f.u.

Lattice parameters (Å, degrees): 3.2325 5.2374 5.2374 120.00 90.00 90.00
With the nearest neighbours (Å) after each atom.
Fractional positions:
Lu: 0.6899 0.6667 0.3333  3 Mg 3.23, 2 Lu 3.23, 6 Sc 3.31-3.56
Sc: 0.2706 0.3333 0.6667  3 Mg 3.11, 2 Sc 3.23, 3 Lu 3.31
Mg: 0.0394 0.0000 0.0000  3 Sc 3.11, 3 Lu 3.23, 2 Mg 3.23

---

Entry 2:
## RbNa2Sr (PBE-GGA)

Data for an optimized crystal structure of RbNa2Sr.

Computed properties:
**E above lowest polymorph**: 0.17 eV per formula unit
**Energy relative to the elements**: 87 meV per atom
**D(E_F)**: 3.55 states/eV/f.u.

Lattice parameters (Å, degrees): 4.3218 4.3218 13.5771 80.84 80.84 60.00
With the nearest neighbours (Å) after each atom.
Fractional positions:
Rb: 0.5000 0.5000 0.5000  6 Rb 4.32, 6 Na 4.34
Sr: 0.0000 0.0000 0.0000  6 Na 3.99, 6 Sr 4.32
Na: 0.7446 0.7446 0.7662  3 Sr 3.99, 6 Na 4.32, 3 Rb 4.34
Na: 0.2554 0.2554 0.2338  3 Sr 3.99, 6 Na 4.32, 3 Rb 4.34

---

Entry 3:
## Na2Li2Ga (PBE-GGA)

Data for an optimized crystal structure of Na2Li2Ga.

Computed properties:
**E above lowest polymorph**: 0.66 eV per formula unit
**Energy relative to the elements**: 149 meV per atom
**D(E_F)**: 2.92 states/eV/f.u.

Lattice parameters (Å, degrees): 3.8318 3.8318 9.2500 78.05 78.05 90.00
With the nearest neighbours (Å) after each atom.
Fractional positions:
Li: 0.2500 0.7500 0.5000  4 Li 2.71
Li: 0.7500 0.2500 0.5000  4 Li 2.71
Ga: 0.0000 0.0000 0.0000  8 Na 3.21
Na: 0.5977 0.5977 0.8046  4 Ga 3.21, 4 Li 3.31, 1 Na 3.46
Na: 0.4023 0.4023 0.1954  4 Ga 3.21, 4 Li 3.31, 1 Na 3.46

---

Entry 4:
## Ac6SiGe2Se3 (PBE-GGA)

Data for an optimized crystal structure of Ac6SiGe2Se3.

Computed properties:
**E_form (uncorrected)**: -30.5 kcal/mol of atoms
**D(E_F)**: 4.55 states/eV/f.u.

Lattice parameters (Å, degrees): 4.5680 9.1309 10.2045 102.81 102.93 90.00
With the nearest neighbours (Å) after each atom.
Fractional positions:
Ac: 0.9976 0.7581 0.9952  2 Si 3.17, 1 Ge 3.18, 3 Se 3.28-3.29
Ac: 0.6690 0.5767 0.3380  3 Ge 3.18, 3 Se 3.27-3.28
Ac: 0.0024 0.2419 0.0048  2 Si 3.17, 1 Ge 3.18, 3 Se 3.28-3.29
Ac: 0.3310 0.4233 0.6620  3 Ge 3.18, 3 Se 3.27-3.28
Ac: 0.6635 0.0886 0.3270  1 Si 3.17, 2 Ge 3.18, 3 Se 3.28-3.29
Ac: 0.3365 0.9114 0.6730  1 Si 3.17, 2 Ge 3.18, 3 Se 3.28-3.29
Se: 0.5000 0.5000 0.0000  6 Ac 3.27-3.29
Se: 0.1667 0.8330 0.3334  6 Ac 3.28-3.29
Se: 0.8333 0.1670 0.6666  6 Ac 3.28-3.29
Ge: 0.1667 0.3328 0.3334  6 Ac 3.18
Ge: 0.8333 0.6672 0.6666  6 Ac 3.18
Si: 0.5000 0.0000 0.0000  6 Ac 3.17